1.
This record from Alexandria via LeMat-Bulk describes crystalline NaLaSi3 at its relaxed geometry. The functional is GGA-PBEsol.

Cell: 4.8222 4.8222 4.8222 Å, 90.00 90.00 90.00°
Last column: nearest neighbours and their distance in Å.
Space group Pm-3m (No. 221)
Symmetry-distinct sites (fractional):
Na 0.0000 0.0000 0.0000 [1 per cell]  6 Si 2.41
La 0.5000 0.5000 0.5000 [1 per cell]  12 Si 3.41
Si 0.0000 0.0000 0.5000 [3 per cell]  2 Na 2.41

***

2.
This record from Alexandria via LeMat-Bulk describes crystalline NaLa2SiTe at its relaxed geometry. The functional is GGA-PBEsol.

Cell: 5.6640 5.6640 5.0968 Å, 90.00 90.00 90.00°
Last column: nearest neighbours and their distance in Å.
Space group P4/mmm (No. 123)
Symmetry-distinct sites (fractional):
Na 0.0000 0.0000 0.0000 [1 per cell]  2 Si 2.55
La 0.0000 0.5000 0.5000 [2 per cell]  2 Si 2.83
Si 0.0000 0.0000 0.5000 [1 per cell]  2 Na 2.55, 4 La 2.83
Te 0.5000 0.5000 0.0000 [1 per cell]  8 La 3.81, 4 Na 4.01

***

3.
This record from Alexandria via LeMat-Bulk describes crystalline Na3LaSn at its relaxed geometry. The functional is GGA-PBEsol.

Calculated values
energy of formation: 1.147 eV per atom

Cell: 5.9687 5.9687 5.9687 Å, 90.00 90.00 90.00°
Last column: nearest neighbours and their distance in Å.
Space group Pm-3m (No. 221)
Symmetry-distinct sites (fractional):
Na 0.0000 0.0000 0.5000 [3 per cell]  2 La 2.98
La 0.0000 0.0000 0.0000 [1 per cell]  6 Na 2.98
Sn 0.5000 0.5000 0.5000 [1 per cell]  12 Na 4.22

***

4.
This record from Alexandria via LeMat-Bulk describes crystalline NaLa2Sn2 at its relaxed geometry. The functional is GGA-PBEsol.

Calculated values
energy of formation: -0.608 eV per atom

Cell: 8.2358 8.2358 4.5180 Å, 90.00 90.00 90.00°
Last column: nearest neighbours and their distance in Å.
Space group P4/mbm (No. 127)
Symmetry-distinct sites (fractional):
Na 0.0000 0.0000 0.0000 [2 per cell]  4 Sn 3.26
La 0.1752 0.3248 0.5000 [4 per cell]  6 Sn 3.25-3.37
Sn 0.1243 0.6243 0.0000 [4 per cell]  1 Sn 2.90

***

5.
This record from Alexandria via LeMat-Bulk describes crystalline NaSrLa2Te at its relaxed geometry. The functional is GGA-PBEsol.

Cell: 5.8190 5.8190 5.2881 Å, 90.00 90.00 90.00°
Last column: nearest neighbours and their distance in Å.
Space group P4/mmm (No. 123)
Symmetry-distinct sites (fractional):
Na 0.0000 0.0000 0.0000 [1 per cell]  2 Sr 2.64
Sr 0.0000 0.0000 0.5000 [1 per cell]  2 Na 2.64, 4 La 2.91
La 0.0000 0.5000 0.5000 [2 per cell]  2 Sr 2.91
Te 0.5000 0.5000 0.0000 [1 per cell]  8 La 3.93, 4 Na 4.11

***

6.
This record from Alexandria via LeMat-Bulk describes crystalline Na2SrLaZr at its relaxed geometry. The functional is GGA-PBEsol.

Calculated values
energy of formation: 1.103 eV per atom

Cell: 5.5060 5.5060 5.6628 Å, 90.00 90.00 90.00°
Last column: nearest neighbours and their distance in Å.
Space group P4/mmm (No. 123)
Symmetry-distinct sites (fractional):
Na 0.0000 0.5000 0.0000 [2 per cell]  2 Sr 2.75
Sr 0.0000 0.0000 0.0000 [1 per cell]  4 Na 2.75, 2 Zr 2.83
La 0.5000 0.5000 0.5000 [1 per cell]  4 Zr 3.89, 8 Na 3.95
Zr 0.0000 0.0000 0.5000 [1 per cell]  2 Sr 2.83

***

The calculation returns the following electronic total energy values, one per record and in order: -4.178; -4.681; -1.614; -4.730; -2.810; -2.712 eV per atom.
The calculation returns the following magnetic moment values, one per record and in order: 0.00; 0.00; 2.05; 0.66; 0.00; 1.41 μB/f.u..